(1)
The following is a PBEsol calculation of an optimized crystal structure of Zr4Ta3, from the Alexandria database.

```
data_Zr4Ta3
_cell_length_a 5.4268
_cell_length_b 5.4268
_cell_length_c 5.5570
_cell_angle_alpha 90.00
_cell_angle_beta 90.00
_cell_angle_gamma 120.00
_space_group_name_H-M_alt 'P 1'
_space_group_IT_number 1
loop_
_space_group_symop_operation_xyz
'x,y,z'
loop_
_atom_site_label
_atom_site_fract_x
_atom_site_fract_y
_atom_site_fract_z
_atom_site_occupancy
Zr1 0.0000 0.0000 0.2350 1
Zr2 0.0000 0.0000 0.7650 1
Zr3 0.3333 0.6667 0.0000 1
Zr4 0.6667 0.3333 0.0000 1
Ta1 0.0000 0.5000 0.5000 1
Ta2 0.5000 0.0000 0.5000 1
Ta3 0.5000 0.5000 0.5000 1
```

* formation enthalpy at 0 K: 0.09 eV per atom
* crystal system: hexagonal
* total energy: -10.49 eV/atom
* SG: P6/mmm, No. 191
* M_tot: 0.00 Bohr magnetons per cell
* theoretical density: 10.6 g cm⁻³

(2)
The following is a PBEsol calculation of an optimized crystal structure of TaAsPb2, from the Alexandria database.

```
data_TaAsPb2
_cell_length_a 5.6990
_cell_length_b 5.6990
_cell_length_c 5.6990
_cell_angle_alpha 135.77
_cell_angle_beta 135.77
_cell_angle_gamma 64.34
_space_group_name_H-M_alt 'P 1'
_space_group_IT_number 1
loop_
_space_group_symop_operation_xyz
'x,y,z'
loop_
_atom_site_label
_atom_site_fract_x
_atom_site_fract_y
_atom_site_fract_z
_atom_site_occupancy
Ta1 0.0000 0.0000 0.0000 1
As1 0.7500 0.2500 0.5000 1
Pb1 0.2500 0.7500 0.5000 1
Pb2 0.5000 0.5000 0.0000 1
```

* formation enthalpy at 0 K: 0.61 eV per atom
* crystal system: tetragonal
* total energy: -5.80 eV/atom
* SG: I-4m2, No. 119
* M_tot: 0.00 Bohr magnetons per cell
* theoretical density: 12.5 g cm⁻³

Q: Which of these has the highest formation enthalpy at 0 K?
A: TaAsPb2